The following is a PBE calculation of an optimized crystal structure of Cs5ClF4, from the Alexandria database. Values from VASP.

Output
The energy relative to the elements, uncorrected is -2.4902 eV per atom. Its theoretical density is 4106 kg/m3.

Structure (Quantum ESPRESSO input):
```
&SYSTEM
  ibrav = 0, nat = 10, ntyp = 3
/
ATOMIC_SPECIES
Cs 132.91 Cs.upf
Cl 35.45 Cl.upf
F 19.00 F.upf
CELL_PARAMETERS angstrom
7.3436 -2.2007 0.0000
7.3436 2.2007 0.0000
-5.3892 0.0000 9.7089
ATOMIC_POSITIONS angstrom
Cs 0.0000 0.0000 0.0000
Cs -1.3633 0.0000 7.9559
Cs 2.3565 0.0000 6.0826
Cs 6.9414 0.0000 3.6263
Cs 10.6613 0.0000 1.7531
Cl -2.6946 0.0000 4.8545
F 1.3663 0.0000 2.7541
F 5.3984 0.0000 0.9490
F 3.8996 0.0000 8.7599
F 7.9316 0.0000 6.9548
```